Entry 1:
! CaMgZr2 (GGA-PBE, optimized geometry); values from VASP
! DOS(E_F): 1.44 states/eV/atom
! calculated formation energy: 124 kJ/mol of formula units
! symmetry: Pmmm (47)
! calculated volume: 100.74 Å³ per cell
&SYSTEM
  ibrav = 0, nat = 4, ntyp = 3
/
ATOMIC_SPECIES
Ca 40.08 Ca.upf
Mg 24.30 Mg.upf
Zr 91.22 Zr.upf
ATOMIC_POSITIONS crystal
Ca 0.500 0.500 0.250
Mg 0.500 0.500 0.750
Zr 0.000 0.000 0.984
Zr 0.000 0.000 0.516
CELL_PARAMETERS angstrom
3.117 0.000 0.000
0.000 4.916 0.000
0.000 0.000 6.574

---

Entry 2:
! NaBeSnSe2 (GGA-PBE, optimized geometry); values from VASP
! DOS(E_F): 0.83 states/eV/atom
! ΔE_f (raw): 0.0960 eV/atom
! symmetry: P4/mmm (123)
! calculated volume: 141.12 Å³ per cell
&SYSTEM
  ibrav = 0, nat = 5, ntyp = 4
/
ATOMIC_SPECIES
Na 22.99 Na.upf
Sn 118.71 Sn.upf
Se 78.96 Se.upf
Be 9.01 Be.upf
ATOMIC_POSITIONS crystal
Na 0.500 0.500 0.500
Sn 0.000 0.000 0.000
Se 0.000 0.000 0.500
Se 0.500 0.000 0.000
Be 0.000 0.500 0.000
CELL_PARAMETERS angstrom
5.552 0.000 0.000
0.000 4.579 0.000
0.000 0.000 5.552